# CdAg3

CdAg3 at its PBEsol-relaxed geometry (meta-GGA SCAN, the Alexandria database).

Calculated values
**Electronic total energy**: -124.67 eV per cell
**Energy of formation from the pure elements**: -39 meV per atom
**Size of the total moment**: 0.000 μB/atom
**DOS(E_F)**: 0.9 states/eV/cell

Lattice parameters (Å, degrees): 5.5205 5.5205 5.5205 148.97 62.95 126.71
Closest atoms and distances in Å follow each position.
Element x y z (fractional)
Cd 0.0000 0.0000 0.0000  10 Ag 2.87-2.90, 2 Cd 2.95
Ag 0.0977 0.3463 0.7514  9 Ag 2.87-2.95, 3 Cd 2.89-2.90
Ag 0.5024 0.0024 0.5000  4 Cd 2.87-2.89, 8 Ag 2.87-2.95
Ag 0.5949 0.3463 0.2486  9 Ag 2.87-2.95, 3 Cd 2.89-2.90

---

# CdAg2

CdAg2 at its PBEsol-relaxed geometry (meta-GGA SCAN, the Alexandria database).

Calculated values
**Electronic total energy**: -186.35 eV per cell
**Energy of formation from the pure elements**: -9 meV per atom
**Energy relative to the lowest polymorph listed for this composition**: 1.04 kcal/mol of atoms
**Size of the total moment**: 0.000 μB/atom
**DOS(E_F)**: 1.7 states/eV/cell

Lattice parameters (Å, degrees): 4.6606 4.6606 5.6481 90.00 90.00 120.00
Closest atoms and distances in Å follow each position.
Element x y z (fractional)
Cd 0.3333 0.6667 0.2500  5 Ag 2.69-2.82
Cd 0.6667 0.3333 0.7500  5 Ag 2.69-2.82
Ag 0.0000 0.0000 0.0000  8 Ag 2.82-3.04, 6 Cd 3.04
Ag 0.0000 0.0000 0.5000  8 Ag 2.82-3.04, 6 Cd 3.04
Ag 0.3333 0.6667 0.7500  5 Cd 2.69-2.82
Ag 0.6667 0.3333 0.2500  5 Cd 2.69-2.82